# 1
A geometry-optimized AlHg2Se structure. Source: Alexandria via LeMat-Bulk, functional PBE.

Properties
ΔE to the lowest computed polymorph ... 315 meV per atom
Density ... 8.3 Mg/m³
Total moment ... 0.0 μB/cell
Formation energy (no corrections) ... 0.036 eV per atom
VASP energy ... -0.141 Ry per atom

```
AlHg2Se
1.0
-4.731 2.880 -4.183
-3.448 -2.455 -5.501
2.030 -1.127 6.541
Al Hg Se
1 2 1
Direct
0.750 0.250 0.500
0.000 0.000 0.000
0.500 0.500 0.000
0.250 0.750 0.500
```


# 2
A geometry-optimized Al2Hg5Se8 structure. Source: Alexandria via LeMat-Bulk, functional PBE.

Properties
Density ... 6.5 Mg/m³
Total moment ... 0.0 μB/cell
Formation energy (no corrections) ... -0.415 eV per atom
VASP energy ... -0.211 Ry per atom

```
Al2Hg5Se8
1.0
-2.121 7.810 -2.186
-2.412 -2.827 7.561
20.846 13.822 12.873
Hg Se Al
20 32 8
Direct
0.985 0.496 0.583
0.909 0.177 0.838
0.371 0.423 0.086
0.933 0.233 0.336
0.945 0.975 0.592
0.699 0.621 0.724
0.447 0.722 0.840
0.947 0.468 0.097
0.435 0.945 0.590
0.625 0.313 0.970
0.725 0.112 0.222
0.425 0.217 0.843
0.903 0.694 0.338
0.137 0.562 0.226
0.233 0.376 0.472
0.181 0.845 0.973
0.472 0.736 0.345
0.648 0.817 0.480
0.410 0.975 0.079
0.149 0.075 0.724
0.482 0.768 0.744
0.273 0.373 0.373
0.470 0.515 0.992
0.522 0.281 0.254
0.978 0.005 0.009
0.743 0.841 0.882
0.982 0.271 0.743
0.508 0.036 0.494
0.269 0.145 0.625
0.052 0.226 0.246
0.740 0.106 0.124
0.979 0.475 0.998
0.262 0.603 0.632
0.739 0.612 0.624
0.003 0.783 0.243
0.260 0.638 0.128
0.523 0.969 0.988
0.504 0.243 0.745
0.772 0.890 0.382
0.213 0.095 0.133
0.537 0.477 0.509
0.272 0.913 0.376
0.743 0.640 0.131
0.024 0.540 0.487
0.210 0.853 0.873
0.015 0.727 0.754
0.023 0.003 0.495
0.749 0.136 0.630
0.508 0.744 0.248
0.732 0.361 0.384
0.215 0.358 0.884
0.756 0.391 0.871
0.936 0.971 0.098
0.701 0.607 0.222
0.218 0.867 0.467
0.469 0.243 0.344
0.165 0.328 0.973
0.444 0.471 0.595
0.924 0.715 0.840
0.686 0.091 0.719
```


# 3
A geometry-optimized AlHgSe2 structure. Source: Alexandria via LeMat-Bulk, functional PBE.

Properties
ΔE to the lowest computed polymorph ... 659 meV per atom
Density ... 6.7 Mg/m³
Total moment ... 0.0 μB/cell
Formation energy (no corrections) ... 0.128 eV per atom
VASP energy ... -0.193 Ry per atom

```
AlHgSe2
1.0
3.184 0.000 0.000
0.000 3.184 0.000
0.000 0.000 9.382
Se Al Hg
2 1 1
Direct
0.500 0.500 0.338
0.000 0.000 0.979
0.000 0.000 0.469
0.500 0.500 0.715
```